[1]
The following is a DFT calculation (PBE-GGA) of a relaxed structure of Ba2MoAu.

abc: 4.1924 4.1924 27.9917
angles: 90.00 90.00 120.00
Space group R-3m (No. 166, hexagonal axes)
Inequivalent atoms, fractional coordinates:
Ba (0.0000, 0.0000, 0.2489)
Mo (0.0000, 0.0000, 0.0000)
Au (0.0000, 0.0000, 0.5000)

Output
The calculation puts the total energy at -3.83 eV/atom. The density of states at the Fermi level is 3.18 states/eV/f.u. For the magnetization, the calculation gives 0.723 μB per atom. For the polymorph energy (0 for the lowest one), the calculation gives 0.298 eV/atom. Its formation energy is 0.658 eV/atom.

=====

[2]
The following is a DFT calculation (PBE-GGA) of a relaxed structure of ZnIn2Re.

abc: 7.5830 7.5830 5.6243
angles: 90.00 90.00 90.00
Space group I-42d (No. 122)
Inequivalent atoms, fractional coordinates:
Zn (0.0000, 0.0000, 0.0000)
In (0.2490, 0.7500, 0.6250)
Re (0.0000, 0.0000, 0.5000)

Output
The calculation puts the total energy at -3.96 eV/atom. The density of states at the Fermi level is 2.13 states/eV/f.u. For the magnetization, the calculation gives 0.227 μB per atom. Its formation energy is 0.843 eV/atom.

=====

[3]
The following is a DFT calculation (PBE-GGA) of a relaxed structure of TiZnCu2S4.

abc: 5.3915 5.3915 10.6001
angles: 90.00 90.00 90.00
Space group I-42m (No. 121)
Inequivalent atoms, fractional coordinates:
Ti (0.0000, 0.0000, 0.0000)
Zn (0.0000, 0.0000, 0.5000)
Cu (0.0000, 0.5000, 0.2500)
S (0.2454, 0.2454, 0.1274)

Output
The calculation puts the total energy at -4.98 eV/atom. For the magnetization, the calculation gives 0.000 μB per atom. The calculation puts the raw formation energy at -17.15 kcal/mol of atoms.

=====

[4]
The following is a DFT calculation (PBE-GGA) of a relaxed structure of CsClF2.

abc: 5.0970 5.0970 15.0392
angles: 90.00 90.00 90.00
Space group I-42d (No. 122)
Inequivalent atoms, fractional coordinates:
Cs (0.0000, 0.0000, 0.0000)
Cl (0.0000, 0.0000, 0.5000)
F (0.0956, 0.2500, 0.6250)

Output
The calculation puts the total energy at -2.84 eV/atom. The density of states at the Fermi level is 1.10 states/eV/f.u. For the magnetization, the calculation gives 0.000 μB per atom. The calculation puts the raw formation energy at -28.25 kcal/mol of atoms. For the polymorph energy (0 for the lowest one), the calculation gives 0.497 eV/atom.

=====

[5]
The following is a DFT calculation (PBE-GGA) of a relaxed structure of Ti5InRh4.

abc: 2.9751 2.9751 17.9108
angles: 90.00 90.00 90.00
Space group P4/mmm (No. 123)
Inequivalent atoms, fractional coordinates:
Ti (0.0000, 0.0000, 0.0000)
Ti (0.0000, 0.0000, 0.1893)
Ti (0.0000, 0.0000, 0.3771)
In (0.5000, 0.5000, 0.5000)
Rh (0.5000, 0.5000, 0.0984)
Rh (0.5000, 0.5000, 0.2806)

Output
The calculation puts the total energy at -7.78 eV/atom. The density of states at the Fermi level is 12.62 states/eV/f.u. For the magnetization, the calculation gives 0.001 μB per atom. Its formation energy is -0.621 eV/atom.

=====

[6]
The following is a DFT calculation (PBE-GGA) of a relaxed structure of YIr3Br.

abc: 5.1300 5.1300 5.1300
angles: 90.00 90.00 90.00
Space group Pm-3m (No. 221)
Inequivalent atoms, fractional coordinates:
Y (0.0000, 0.0000, 0.0000)
Ir (0.0000, 0.0000, 0.5000)
Br (0.5000, 0.5000, 0.5000)

Output
The calculation puts the total energy at -4.80 eV/atom. The density of states at the Fermi level is 14.55 states/eV/f.u. For the magnetization, the calculation gives 0.633 μB per atom. The calculation puts the raw formation energy at 49.50 kcal/mol of atoms. For the polymorph energy (0 for the lowest one), the calculation gives 1.201 eV/atom.

=====

[7]
The following is a DFT calculation (PBE-GGA) of a relaxed structure of HoPu3Ga8.

abc: 5.5256 5.5256 29.8656
angles: 90.00 90.00 120.00
Space group R3m (No. 160, hexagonal axes)
Inequivalent atoms, fractional coordinates:
Ho (0.0000, 0.0000, 0.0000)
Pu (0.0000, 0.0000, 0.1910)
Pu (0.0000, 0.0000, 0.7094)
Pu (0.0000, 0.0000, 0.7984)
Ga (0.0000, 0.0000, 0.3543)
Ga (0.0000, 0.0000, 0.8983)
Ga (0.0052, 0.5026, 0.7616)
Ga (0.1709, 0.3418, 0.2797)

Output
The calculation puts the total energy at -6.18 eV/atom. The density of states at the Fermi level is 30.03 states/eV/f.u. For the magnetization, the calculation gives 0.527 μB per atom. Its formation energy is -0.195 eV/atom.

=====

[8]
The following is a DFT calculation (PBE-GGA) of a relaxed structure of TaBi3F.

abc: 4.9752 4.9752 4.9752
angles: 90.00 90.00 90.00
Space group Pm-3m (No. 221)
Inequivalent atoms, fractional coordinates:
Ta (0.0000, 0.0000, 0.0000)
Bi (0.0000, 0.5000, 0.5000)
F (0.5000, 0.5000, 0.5000)

Output
The calculation puts the total energy at -4.81 eV/atom. The density of states at the Fermi level is 4.63 states/eV/f.u. For the magnetization, the calculation gives 0.277 μB per atom. The calculation puts the raw formation energy at 6.11 kcal/mol of atoms. For the polymorph energy (0 for the lowest one), the calculation gives 0.178 eV/atom.

=====

[9]
The following is a DFT calculation (PBE-GGA) of a relaxed structure of Fe3P.

abc: 7.7758 7.7758 2.6015
angles: 90.00 90.00 120.00
Space group R-3m (No. 166, hexagonal axes)
Inequivalent atoms, fractional coordinates:
Fe (0.0000, 0.5000, 0.0000)
P (0.0000, 0.0000, 0.0000)

Output
The calculation puts the total energy at -7.74 eV/atom. The density of states at the Fermi level is 2.50 states/eV/f.u. For the magnetization, the calculation gives 1.625 μB per atom. For the polymorph energy (0 for the lowest one), the calculation gives 0.320 eV/atom. Its formation energy is -0.037 eV/atom.

=====

[10]
The following is a DFT calculation (PBE-GGA) of a relaxed structure of Rb3Ac3TlO8.

abc: 12.9047 7.7412 8.0348
angles: 90.00 123.90 90.00
Space group C2/m (No. 12)
Inequivalent atoms, fractional coordinates:
Rb (0.0000, 0.0000, 0.0000)
Rb (0.2500, 0.2500, 0.0000)
Ac (0.0000, 0.5000, 0.5000)
Ac (0.2500, 0.2500, 0.5000)
Tl (0.0000, 0.0000, 0.5000)
O (0.0231, 0.2497, 0.3158)
O (0.2048, 0.0000, 0.6721)
O (0.2306, 0.5000, 0.6835)

Output
The calculation puts the total energy at -5.89 eV/atom. The density of states at the Fermi level is 8.62 states/eV/f.u. For the magnetization, the calculation gives 0.074 μB per atom. The calculation puts the raw formation energy at -47.87 kcal/mol of atoms.

=====

[11]
The following is a DFT calculation (PBE-GGA) of a relaxed structure of Pu2NbB6.

abc: 3.0174 7.4884 8.8894
angles: 90.00 90.00 90.00
Space group Immm (No. 71)
Inequivalent atoms, fractional coordinates:
Pu (0.0000, 0.0000, 0.1261)
Nb (0.0000, 0.5000, 0.0000)
B (0.0000, 0.2382, 0.3063)
B (0.0000, 0.2618, 0.5000)

Output
The calculation puts the total energy at -8.66 eV/atom. The density of states at the Fermi level is 7.11 states/eV/f.u. For the magnetization, the calculation gives 0.108 μB per atom. Its formation energy is 0.092 eV/atom.

=====

[12]
The following is a DFT calculation (PBE-GGA) of a relaxed structure of TiAsPb2Se.

abc: 5.5766 5.5766 4.6946
angles: 90.00 90.00 90.00
Space group P4/mmm (No. 123)
Inequivalent atoms, fractional coordinates:
Ti (0.0000, 0.0000, 0.0000)
As (0.0000, 0.0000, 0.5000)
Pb (0.0000, 0.5000, 0.0000)
Se (0.5000, 0.5000, 0.5000)

Output
The calculation puts the total energy at -4.53 eV/atom. The density of states at the Fermi level is 2.62 states/eV/f.u. For the magnetization, the calculation gives 0.000 μB per atom. The calculation puts the raw formation energy at 3.71 kcal/mol of atoms.

=====

Which value of magnetization does entry 1 give? 0.723 μB per atom